CePm6Dy2Y3 | PBE | optimized geometry

Cell lengths 6.257, 6.257, 11.910 Å; angles 95.03, 95.03, 120.01 degrees
Element x y z (fractional)
Y 0.167 0.833 0.500
Pm 0.586 0.918 0.751
Pm 0.082 0.414 0.249
Pm 0.918 0.586 0.751
Pm 0.249 0.249 0.751
Pm 0.414 0.082 0.249
Y 0.500 0.500 0.500
Y 0.833 0.167 0.500
Dy 0.666 0.334 0.000
Ce 0.000 0.000 0.000
Dy 0.334 0.666 0.000
Pm 0.751 0.751 0.249

ΔE_f: 36 meV/atom
Space-group type: C2/m, No. 12
Crystal system: monoclinic